# 1
## Cs3BiAu6 (PBE)

Data for an optimized crystal structure of Cs3BiAu6.

Computed properties:
Final energy ... -2.781 eV/atom
Energy of formation ... -1.699 eV/f.u.

a = 13.9751 Å, b = 6.9153 Å, c = 10.3931 Å
α = 90.00°, β = 127.36°, γ = 90.00°
Space group C2/m (No. 12)
Unique sites:
Cs (0.0000, 0.0000, 0.0000) (multiplicity 2)
Cs (0.2348, 0.0000, 0.7596) (multiplicity 4)
Bi (0.0000, 0.5000, 0.5000) (multiplicity 2)
Au (0.0656, 0.2026, 0.3668) (multiplicity 8)
Au (0.2393, 0.5000, 0.5755) (multiplicity 4)

# 2
## Cs2Bi3Au2 (PBE)

Data for an optimized crystal structure of Cs2Bi3Au2.

Computed properties:
Final energy ... -3.045 eV/atom
Energy of formation ... -1.410 eV/f.u.
E above lowest polymorph ... 0.006 eV/atom

a = 18.9285 Å, b = 4.3260 Å, c = 6.9843 Å
α = 90.00°, β = 100.69°, γ = 90.00°
Space group C2/m (No. 12)
Unique sites:
Cs (0.1174, 0.0000, 0.0595) (multiplicity 4)
Bi (0.0000, 0.0000, 0.5000) (multiplicity 2)
Bi (0.2143, 0.0000, 0.6185) (multiplicity 4)
Au (0.1079, 0.5000, 0.5475) (multiplicity 4)

# 3
## CsBi3Au2 (PBE)

Data for an optimized crystal structure of CsBi3Au2.

Computed properties:
Final energy ... -3.272 eV/atom
Energy of formation ... -0.583 eV/f.u.

a = 18.5337 Å, b = 5.3359 Å, c = 9.3090 Å
α = 90.00°, β = 106.33°, γ = 90.00°
Space group C2/m (No. 12)
Unique sites:
Cs (0.1244, 0.0000, 0.0366) (multiplicity 4)
Bi (0.0383, 0.0000, 0.3772) (multiplicity 4)
Bi (0.1626, 0.5000, 0.7584) (multiplicity 4)
Bi (0.1660, 0.5000, 0.4326) (multiplicity 4)
Au (0.0048, 0.5000, 0.7134) (multiplicity 4)
Au (0.1827, 0.0000, 0.6216) (multiplicity 4)

# 4
## CsBiAu (PBE)

Data for an optimized crystal structure of CsBiAu.

Computed properties:
Final energy ... -2.872 eV/atom
Energy of formation ... -0.604 eV/f.u.
E above lowest polymorph ... 0.097 eV/atom

a = 4.1122 Å, b = 4.1122 Å, c = 13.5862 Å
α = 90.00°, β = 90.00°, γ = 90.00°
Space group I4mm (No. 107)
Unique sites:
Cs (0.0000, 0.0000, 0.0000) (multiplicity 2)
Bi (0.0000, 0.0000, 0.2777) (multiplicity 2)
Au (0.0000, 0.0000, 0.7332) (multiplicity 2)

# 5
## Cs4BiAu3 (PBE)

Data for an optimized crystal structure of Cs4BiAu3.

Computed properties:
Final energy ... -2.477 eV/atom
Energy of formation ... -2.686 eV/f.u.

a = 5.1745 Å, b = 5.5512 Å, c = 12.8064 Å
α = 90.00°, β = 90.00°, γ = 90.00°
Space group Pmm2 (No. 25)
Unique sites:
Cs (0.0000, 0.0000, 0.0000) (multiplicity 1)
Cs (0.0000, 0.5000, 0.4785) (multiplicity 1)
Cs (0.5000, 0.0000, 0.6936) (multiplicity 1)
Cs (0.5000, 0.5000, 0.2054) (multiplicity 1)
Bi (0.0000, 0.5000, 0.8023) (multiplicity 1)
Au (0.0000, 0.0000, 0.2868) (multiplicity 1)
Au (0.5000, 0.0000, 0.3969) (multiplicity 1)
Au (0.5000, 0.5000, 0.8845) (multiplicity 1)

# 6
## CsBi2Au (PBE)

Data for an optimized crystal structure of CsBi2Au.

Computed properties:
Final energy ... -3.111 eV/atom
Energy of formation ... -0.551 eV/f.u.
E above lowest polymorph ... 0.134 eV/atom

a = 4.7674 Å, b = 4.7674 Å, c = 23.6383 Å
α = 90.00°, β = 90.00°, γ = 120.00°
Space group R-3m (No. 166, hexagonal axes)
Unique sites:
Cs (0.0000, 0.0000, 0.0000) (multiplicity 3)
Bi (0.0000, 0.0000, 0.2114) (multiplicity 6)
Au (0.0000, 0.0000, 0.5000) (multiplicity 3)

# 7
## CsBi2Au6 (PBE)

Data for an optimized crystal structure of CsBi2Au6.

Computed properties:
Final energy ... -3.181 eV/atom
Energy of formation ... -0.351 eV/f.u.

a = 13.8814 Å, b = 7.9344 Å, c = 4.8941 Å
α = 90.00°, β = 110.15°, γ = 90.00°
Space group C2/m (No. 12)
Unique sites:
Cs (0.0000, 0.0000, 0.0000) (multiplicity 2)
Bi (0.1397, 0.5000, 0.1422) (multiplicity 4)
Au (0.0000, 0.3245, 0.5000) (multiplicity 4)
Au (0.2118, 0.2985, 0.7127) (multiplicity 8)

# 8
## CsBi2Au (PBE)

Data for an optimized crystal structure of CsBi2Au.

Computed properties:
Final energy ... -2.704 eV/atom
Energy of formation ... 1.076 eV/f.u.
E above lowest polymorph ... 0.541 eV/atom

a = 7.9753 Å, b = 7.9753 Å, c = 7.9753 Å
α = 90.00°, β = 90.00°, γ = 90.00°
Space group Fm-3m (No. 225)
Unique sites:
Cs (0.0000, 0.0000, 0.0000) (multiplicity 4)
Bi (0.2500, 0.2500, 0.2500) (multiplicity 8)
Au (0.0000, 0.0000, 0.5000) (multiplicity 4)

# 9
## Cs2Bi3Au5 (PBE)

Data for an optimized crystal structure of Cs2Bi3Au5.

Computed properties:
Final energy ... -3.134 eV/atom
Energy of formation ... -1.604 eV/f.u.

a = 15.8878 Å, b = 11.6475 Å, c = 7.4004 Å
α = 90.00°, β = 117.76°, γ = 90.00°
Space group C2/c (No. 15)
Unique sites:
Cs (0.1297, 0.2337, 0.1303) (multiplicity 8)
Bi (0.0000, 0.4994, 0.7500) (multiplicity 4)
Bi (0.1341, 0.1066, 0.6346) (multiplicity 8)
Au (0.0000, 0.0007, 0.7500) (multiplicity 4)
Au (0.1131, 0.3548, 0.6122) (multiplicity 8)
Au (0.2260, 0.5003, 0.4756) (multiplicity 8)

# 10
## Cs2Bi5Au4 (PBE)

Data for an optimized crystal structure of Cs2Bi5Au4.

Computed properties:
Final energy ... -3.238 eV/atom
Energy of formation ... -1.398 eV/f.u.

a = 15.2017 Å, b = 6.6645 Å, c = 10.0863 Å
α = 90.00°, β = 131.33°, γ = 90.00°
Space group C2/m (No. 12)
Unique sites:
Cs (0.2243, 0.0000, 0.1510) (multiplicity 4)
Bi (0.0000, 0.5000, 0.0000) (multiplicity 2)
Bi (0.0578, 0.2590, 0.3422) (multiplicity 8)
Au (0.1136, 0.0000, 0.6884) (multiplicity 4)
Au (0.2419, 0.5000, 0.3859) (multiplicity 4)

# 11
## Cs3Bi4Au4 (PBE)

Data for an optimized crystal structure of Cs3Bi4Au4.

Computed properties:
Final energy ... -3.075 eV/atom
Energy of formation ... -2.635 eV/f.u.

a = 5.0281 Å, b = 5.7708 Å, c = 27.9410 Å
α = 90.00°, β = 90.00°, γ = 90.00°
Space group Immm (No. 71)
Unique sites:
Cs (0.0000, 0.0000, 0.0000) (multiplicity 2)
Cs (0.0000, 0.5000, 0.3511) (multiplicity 4)
Bi (0.0000, 0.0000, 0.4454) (multiplicity 4)
Bi (0.0000, 0.5000, 0.2054) (multiplicity 4)
Au (0.0000, 0.0000, 0.2478) (multiplicity 4)
Au (0.0000, 0.5000, 0.1027) (multiplicity 4)

# 12
## CsBiAu3 (PBE)

Data for an optimized crystal structure of CsBiAu3.

Computed properties:
Final energy ... -2.996 eV/atom
Energy of formation ... -0.414 eV/f.u.
E above lowest polymorph ... 0.059 eV/atom

a = 5.6180 Å, b = 5.6180 Å, c = 5.6180 Å
α = 90.00°, β = 90.00°, γ = 90.00°
Space group Pm-3m (No. 221)
Unique sites:
Cs (0.0000, 0.0000, 0.0000) (multiplicity 1)
Bi (0.5000, 0.5000, 0.5000) (multiplicity 1)
Au (0.0000, 0.5000, 0.5000) (multiplicity 3)

# 13
## Cs4Bi5Au2 (PBE)

Data for an optimized crystal structure of Cs4Bi5Au2.

Computed properties:
Final energy ... -2.937 eV/atom
Energy of formation ... -2.934 eV/f.u.

a = 8.1373 Å, b = 6.3220 Å, c = 9.1553 Å
α = 90.00°, β = 102.29°, γ = 90.00°
Space group P2/m (No. 10)
Unique sites:
Cs (0.2419, 0.0000, 0.1795) (multiplicity 2)
Cs (0.2504, 0.0000, 0.6677) (multiplicity 2)
Bi (0.1003, 0.5000, 0.3810) (multiplicity 2)
Bi (0.1621, 0.5000, 0.9195) (multiplicity 2)
Bi (0.5000, 0.5000, 0.5000) (multiplicity 1)
Au (0.4989, 0.5000, 0.8368) (multiplicity 2)

# 14
## CsBi5Au3 (PBE)

Data for an optimized crystal structure of CsBi5Au3.

Computed properties:
Final energy ... -3.435 eV/atom
Energy of formation ... -0.821 eV/f.u.

a = 4.8183 Å, b = 16.2299 Å, c = 15.1092 Å
α = 90.00°, β = 90.00°, γ = 90.00°
Space group Cmcm (No. 63)
Unique sites:
Cs (0.0000, 0.1722, 0.2500) (multiplicity 4)
Bi (0.0000, 0.0000, 0.0000) (multiplicity 4)
Bi (0.0000, 0.1962, 0.5671) (multiplicity 8)
Bi (0.0000, 0.4729, 0.1447) (multiplicity 8)
Au (0.0000, 0.0984, 0.7500) (multiplicity 4)
Au (0.0000, 0.3712, 0.5284) (multiplicity 8)

# 15
## Cs2BiAu3 (PBE)

Data for an optimized crystal structure of Cs2BiAu3.

Computed properties:
Final energy ... -2.685 eV/atom
Energy of formation ... -0.689 eV/f.u.

a = 12.8757 Å, b = 9.7255 Å, c = 8.9816 Å
α = 90.00°, β = 109.70°, γ = 90.00°
Space group C2/c (No. 15)
Unique sites:
Cs (0.1612, 0.1944, 0.1829) (multiplicity 8)
Bi (0.0000, 0.3865, 0.7500) (multiplicity 4)
Au (0.0000, 0.0924, 0.7500) (multiplicity 4)
Au (0.0947, 0.4186, 0.4939) (multiplicity 8)

# 16
## Cs8BiAu4 (PBE)

Data for an optimized crystal structure of Cs8BiAu4.

Computed properties:
Final energy ... -2.106 eV/atom
Energy of formation ... -3.564 eV/f.u.

a = 17.9352 Å, b = 10.5704 Å, c = 12.5539 Å
α = 90.00°, β = 133.80°, γ = 90.00°
Space group C2/m (No. 12)
Unique sites:
Cs (0.0042, 0.0000, 0.3078) (multiplicity 4)
Cs (0.0460, 0.5000, 0.3417) (multiplicity 4)
Cs (0.2205, 0.2278, 0.1646) (multiplicity 8)
Bi (0.0000, 0.0000, 0.0000) (multiplicity 2)
Au (0.0000, 0.2656, 0.5000) (multiplicity 4)
Au (0.2182, 0.5000, 0.9895) (multiplicity 4)

# 17
## CsBi2Au2 (PBE)

Data for an optimized crystal structure of CsBi2Au2.

Computed properties:
Final energy ... -3.247 eV/atom
Energy of formation ... -1.065 eV/f.u.

a = 5.2530 Å, b = 5.0368 Å, c = 11.8200 Å
α = 90.00°, β = 92.41°, γ = 90.00°
Space group P2_1/m (No. 11)
Unique sites:
Cs (0.2353, 0.2500, 0.2448) (multiplicity 2)
Bi (0.2528, 0.7500, 0.4989) (multiplicity 2)
Bi (0.3107, 0.2500, 0.8852) (multiplicity 2)
Au (0.1766, 0.7500, 0.0009) (multiplicity 2)
Au (0.2559, 0.2500, 0.6305) (multiplicity 2)

# 18
## Cs3Bi2Au (PBE)

Data for an optimized crystal structure of Cs3Bi2Au.

Computed properties:
Final energy ... -2.624 eV/atom
Energy of formation ... -2.142 eV/f.u.

a = 11.7348 Å, b = 11.4018 Å, c = 9.2867 Å
α = 90.00°, β = 93.54°, γ = 90.00°
Space group C2/c (No. 15)
Unique sites:
Cs (0.0000, 0.0879, 0.2500) (multiplicity 4)
Cs (0.1657, 0.4385, 0.0111) (multiplicity 8)
Bi (0.2105, 0.2129, 0.6516) (multiplicity 8)
Au (0.0000, 0.2641, 0.7500) (multiplicity 4)

# 19
## CsBi12Au4 (PBE)

Data for an optimized crystal structure of CsBi12Au4.

Computed properties:
Final energy ... -3.639 eV/atom
Energy of formation ... -1.336 eV/f.u.

a = 10.3328 Å, b = 10.3328 Å, c = 10.3328 Å
α = 90.00°, β = 90.00°, γ = 90.00°
Space group Im-3 (No. 204)
Unique sites:
Cs (0.0000, 0.0000, 0.0000) (multiplicity 2)
Bi (0.0000, 0.3482, 0.1571) (multiplicity 24)
Au (0.2500, 0.2500, 0.2500) (multiplicity 8)

# 20
## CsBiAu (PBE)

Data for an optimized crystal structure of CsBiAu.

Computed properties:
Final energy ... -2.969 eV/atom
Energy of formation ... -0.895 eV/f.u.
E above lowest polymorph ... 0.000 eV/atom

a = 4.8739 Å, b = 4.8739 Å, c = 6.0300 Å
α = 90.00°, β = 90.00°, γ = 120.00°
Space group P-6m2 (No. 187)
Unique sites:
Cs (0.0000, 0.0000, 0.0000) (multiplicity 1)
Bi (0.6667, 0.3333, 0.5000) (multiplicity 1)
Au (0.3333, 0.6667, 0.5000) (multiplicity 1)

Spin magnetization
In order: 0.0000; 0.0000; 0.0000; 0.0000; 0.0000; 0.0000; 0.0000; 0.0000; 0.0000; 0.0000; 0.0000; 0.0000; 0.0000; 0.0000; 0.0000; 0.0000; 0.0000; 0.0000; 0.0000; 0.1279
Unit: μB/atom